An optimized crystal structure of SrLa2Tl, computed with PBEsol.

Cell lengths 4.961, 4.961, 6.234 Å; angles 113.45, 113.45, 90.00 degrees
Sites, in units of the cell vectors:
Sr (0.500, 0.500, 0.000)
La (0.750, 0.250, 0.500)
La (0.250, 0.750, 0.500)
Tl (0.000, 0.000, 0.000)

Calculated values
Its relative energy among the computed polymorphs is 41 meV per atom. Its formation energy is -0.144 eV per atom.

=====

An optimized crystal structure of BaIn2Co, computed with PBEsol.

Cell lengths 5.159, 5.159, 5.159 Å; angles 90.74, 119.57, 119.57 degrees
Each line ends with the local moment (μB).
Sites, in units of the cell vectors:
Ba (0.000, 0.000, 0.000)  -0.03
In (0.500, 0.750, 0.250)  -0.04
In (0.500, 0.250, 0.750)  -0.04
Co (0.000, 0.500, 0.500)  1.54

Calculated values
Its formation energy is 0.317 eV per atom.

=====

An optimized crystal structure of PBrF2, computed with PBEsol.

Cell lengths 2.800, 2.800, 9.753 Å; angles 81.75, 81.75, 60.00 degrees
Sites, in units of the cell vectors:
F (0.943, 0.943, 0.171)
F (0.057, 0.057, 0.829)
Br (0.500, 0.500, 0.500)
P (0.000, 0.000, 0.000)

Calculated values
Its relative energy among the computed polymorphs is 0 meV per atom. For the uncorrected formation energy, the calculation gives -4.16 eV/f.u.

=====

An optimized crystal structure of CsMgPO4, computed with PBEsol.

Cell lengths 5.542, 8.815, 9.785 Å; angles 90.00, 90.00, 90.00 degrees
Sites, in units of the cell vectors:
P (0.250, 0.713, 0.422)
P (0.750, 0.287, 0.578)
P (0.750, 0.787, 0.922)
P (0.250, 0.213, 0.078)
Mg (0.250, 0.323, 0.416)
Mg (0.250, 0.823, 0.084)
Mg (0.750, 0.677, 0.584)
Mg (0.750, 0.177, 0.916)
Cs (0.750, 0.496, 0.200)
Cs (0.250, 0.004, 0.700)
Cs (0.750, 0.996, 0.300)
Cs (0.250, 0.504, 0.800)
O (0.250, 0.275, 0.225)
O (0.024, 0.274, 0.003)
O (0.476, 0.774, 0.497)
O (0.976, 0.726, 0.997)
O (0.750, 0.961, 0.922)
O (0.250, 0.775, 0.275)
O (0.524, 0.226, 0.503)
O (0.750, 0.461, 0.578)
O (0.750, 0.225, 0.725)
O (0.750, 0.725, 0.775)
O (0.476, 0.274, 0.003)
O (0.250, 0.039, 0.078)
O (0.250, 0.539, 0.422)
O (0.524, 0.726, 0.997)
O (0.024, 0.774, 0.497)
O (0.976, 0.226, 0.503)

Calculated values
For the uncorrected formation energy, the calculation gives -17.69 eV/f.u.

=====

An optimized crystal structure of NaTlAsAu2, computed with PBEsol.

Cell lengths 4.897, 4.897, 5.590 Å; angles 90.00, 90.00, 90.00 degrees
Sites, in units of the cell vectors:
Tl (0.000, 0.000, 0.500)
Au (0.000, 0.500, 0.000)
Au (0.500, 0.000, 0.000)
Na (0.500, 0.500, 0.500)
As (0.000, 0.000, 0.000)

Calculated values
Its formation energy is 0.196 eV per atom.

=====

An optimized crystal structure of MgPb3, computed with PBEsol.

Cell lengths 3.436, 3.436, 11.143 Å; angles 81.13, 81.13, 60.00 degrees
Sites, in units of the cell vectors:
Pb (0.255, 0.255, 0.234)
Pb (0.745, 0.745, 0.766)
Pb (0.500, 0.500, 0.500)
Mg (0.000, 0.000, 0.000)

Calculated values
Its formation energy is -0.011 eV per atom.

=====

An optimized crystal structure of Sn3PbSe, computed with PBEsol.

Cell lengths 5.682, 5.682, 5.682 Å; angles 90.00, 90.00, 90.00 degrees
Sites, in units of the cell vectors:
Sn (0.500, 0.000, 0.000)
Sn (0.000, 0.500, 0.000)
Sn (0.000, 0.000, 0.500)
Pb (0.000, 0.000, 0.000)
Se (0.500, 0.500, 0.500)

Calculated values
For the uncorrected formation energy, the calculation gives 4.14 eV/f.u.

=====

An optimized crystal structure of YRe2, computed with PBEsol.

Cell lengths 4.157, 4.157, 4.340 Å; angles 90.00, 90.00, 120.00 degrees
Sites, in units of the cell vectors:
Y (0.000, 0.000, 0.000)
Re (0.333, 0.667, 0.500)
Re (0.667, 0.333, 0.500)

Calculated values
Its formation energy is 0.319 eV per atom.